{
  "formula": "La4AsP3",
  "functional": "PBE-GGA",
  "state": "relaxed",
  "cell": [[4.304, -6.083, 0.000], [4.304, 6.083, 0.000], [0.000, 0.000, 4.303]],
  "species": ["La", "La", "La", "La", "As", "P", "P", "P"],
  "frac_coords": [[0.246, 0.246, 0.500], [0.248, 0.752, 0.000], [0.752, 0.248, 0.000], [0.754, 0.754, 0.500], [0.500, 0.500, 0.000], [0.000, 0.000, 0.000], [0.000, 0.500, 0.500], [0.500, 0.000, 0.500]],
  "dos_at_fermi_per_ev_atom": 0.10,
  "e_form_ev_per_atom": -1.573,
  "total_energy_ev_per_fu": -53.174,
  "magnetic_moment_mub_per_fu": 0.000,
  "spacegroup": "Cmmm"
}